# 1
Compound: Ce7Pb3
Source: Alexandria via LeMat-Bulk
Functional: GGA-PBE
Structure: optimized geometry

Formation enthalpy at 0 K in eV per atom: -0.28

Cell: 18.1549 4.7982 6.8653 Å, 90.00 105.99 90.00°
Space group C2/m (No. 12)
Symmetry-distinct sites (fractional):
Ce: 0.0000 0.0000 0.0000 [2 per cell]
Ce: 0.0840 0.5000 0.2796 [4 per cell]
Ce: 0.1160 0.5000 0.7987 [4 per cell]
Ce: 0.1983 0.0000 0.6246 [4 per cell]
Pb: 0.0000 0.0000 0.5000 [2 per cell]
Pb: 0.1888 0.0000 0.1307 [4 per cell]



# 2
Compound: ZrPb4Se
Source: Alexandria via LeMat-Bulk
Functional: GGA-PBE
Structure: optimized geometry

ΔE_f (raw) in eV/atom: 0.34

Cell: 8.8724 8.8724 8.8724 Å, 90.00 90.00 90.00°
Space group F-43m (No. 216)
Symmetry-distinct sites (fractional):
Zr: 0.0000 0.0000 0.0000 [4 per cell]
Pb: 0.1256 0.1256 0.6256 [16 per cell]
Se: 0.2500 0.2500 0.2500 [4 per cell]



# 3
Compound: KCaTa2
Source: Alexandria via LeMat-Bulk
Functional: GGA-PBE
Structure: optimized geometry

Formation enthalpy at 0 K in eV per atom: 1.02

Cell: 3.0257 5.7190 7.6589 Å, 90.00 99.64 90.00°
Space group P2/m (No. 10)
Symmetry-distinct sites (fractional):
K: 0.0000 0.0000 0.0000 [1 per cell]
Ca: 0.0000 0.0000 0.5000 [1 per cell]
Ta: 0.3716 0.5000 0.6408 [2 per cell]



# 4
Compound: HfZrVMo
Source: Alexandria via LeMat-Bulk
Functional: GGA-PBE
Structure: optimized geometry

Formation enthalpy at 0 K in eV per atom: 0.06

Cell: 6.6922 6.6922 6.6922 Å, 90.00 90.00 90.00°
Space group F-43m (No. 216)
Symmetry-distinct sites (fractional):
Hf: 0.0000 0.0000 0.0000 [4 per cell]
Zr: 0.0000 0.0000 0.5000 [4 per cell]
V: 0.2500 0.2500 0.2500 [4 per cell]
Mo: 0.2500 0.2500 0.7500 [4 per cell]



# 5
Compound: Ce3Pr2NdP6
Source: Alexandria via LeMat-Bulk
Functional: GGA-PBE
Structure: optimized geometry

Formation enthalpy at 0 K in eV per atom: -1.52

Cell: 7.1649 12.4117 7.1695 Å, 90.00 109.46 90.00°
Space group C2/m (No. 12)
Symmetry-distinct sites (fractional):
Ce: 0.0000 0.0000 0.0000 [2 per cell]
Ce: 0.0000 0.3331 0.0000 [4 per cell]
Pr: 0.0000 0.1666 0.5000 [4 per cell]
Nd: 0.0000 0.5000 0.5000 [2 per cell]
P: 0.2455 0.5000 0.2402 [4 per cell]
P: 0.2475 0.1661 0.2405 [8 per cell]



# 6
Compound: TaCuAu
Source: Alexandria via LeMat-Bulk
Functional: GGA-PBE
Structure: optimized geometry

Formation enthalpy at 0 K in eV per atom: 0.59

Cell: 6.1482 6.1482 6.1482 Å, 90.00 90.00 90.00°
Space group F-43m (No. 216)
Symmetry-distinct sites (fractional):
Ta: 0.0000 0.0000 0.0000 [4 per cell]
Cu: 0.2500 0.2500 0.7500 [4 per cell]
Au: 0.2500 0.2500 0.2500 [4 per cell]